1.
# GGA-PBE KBe3As3, relaxed
data_KBe3As3
_symmetry_space_group_name_H-M 'P 1'
_symmetry_Int_Tables_number 1
_symmetry_space_group_name_Hall 'P 1'
_cell_length_a 6.262
_cell_length_b 6.262
_cell_length_c 9.215
_cell_angle_alpha 70.14
_cell_angle_beta 70.14
_cell_angle_gamma 60.00
loop_
_atom_site_label
_atom_site_type_symbol
_atom_site_fract_x
_atom_site_fract_y
_atom_site_fract_z
K1 K 0.666 0.666 0.001
K2 K 0.334 0.334 0.999
Be1 Be 0.191 0.521 0.431
Be2 Be 0.856 0.191 0.431
Be3 Be 0.521 0.856 0.431
Be4 Be 0.479 0.144 0.569
Be5 Be 0.144 0.809 0.569
Be6 Be 0.809 0.479 0.569
As1 As 0.432 0.774 0.692
As2 As 0.774 0.102 0.692
As3 As 0.102 0.432 0.692
As4 As 0.898 0.568 0.308
As5 As 0.226 0.898 0.308
As6 As 0.568 0.226 0.308
# Total magnetization   0.0 μB/f.u.
# Calculated total energy   -3.963 eV per atom
# Distance to the lowest polymorph of the same formula   0.000 eV per atom



2.
# GGA-PBE KBe4As, relaxed
data_KBe4As
_symmetry_space_group_name_H-M 'P 1'
_symmetry_Int_Tables_number 1
_symmetry_space_group_name_Hall 'P 1'
_cell_length_a 4.983
_cell_length_b 4.983
_cell_length_c 4.983
_cell_angle_alpha 60.00
_cell_angle_beta 60.00
_cell_angle_gamma 60.00
loop_
_atom_site_label
_atom_site_type_symbol
_atom_site_fract_x
_atom_site_fract_y
_atom_site_fract_z
K1 K 0.750 0.750 0.750
Be1 Be 0.878 0.374 0.374
Be2 Be 0.374 0.374 0.878
Be3 Be 0.374 0.878 0.374
Be4 Be 0.374 0.374 0.374
As1 As 0.000 0.000 0.000
# Total magnetization   0.0 μB/f.u.
# Calculated total energy   -2.646 eV per atom



3.
# GGA-PBE KBe2As, relaxed
data_KBe2As
_symmetry_space_group_name_H-M 'P 1'
_symmetry_Int_Tables_number 1
_symmetry_space_group_name_Hall 'P 1'
_cell_length_a 4.104
_cell_length_b 4.271
_cell_length_c 4.271
_cell_angle_alpha 90.00
_cell_angle_beta 90.00
_cell_angle_gamma 90.00
loop_
_atom_site_label
_atom_site_type_symbol
_atom_site_fract_x
_atom_site_fract_y
_atom_site_fract_z
Be1 Be 0.000 0.000 0.000
Be2 Be 0.000 0.500 0.500
As1 As 0.500 0.000 0.500
K1 K 0.500 0.500 0.000
# Total magnetization   0.0 μB/f.u.
# Calculated total energy   -2.349 eV per atom



4.
# GGA-PBE KBe3As, relaxed
data_KBe3As
_symmetry_space_group_name_H-M 'P 1'
_symmetry_Int_Tables_number 1
_symmetry_space_group_name_Hall 'P 1'
_cell_length_a 4.982
_cell_length_b 4.982
_cell_length_c 4.982
_cell_angle_alpha 90.00
_cell_angle_beta 90.00
_cell_angle_gamma 90.00
loop_
_atom_site_label
_atom_site_type_symbol
_atom_site_fract_x
_atom_site_fract_y
_atom_site_fract_z
Be1 Be 0.000 0.500 0.000
Be2 Be 0.000 0.000 0.500
Be3 Be 0.500 0.000 0.000
As1 As 0.500 0.500 0.500
K1 K 0.000 0.000 0.000
# Total magnetization   0.0 μB/f.u.
# Calculated total energy   -0.967 eV per atom
# Distance to the lowest polymorph of the same formula   1.441 eV per atom



5.
# GGA-PBE KBeAs3, relaxed
data_KBeAs3
_symmetry_space_group_name_H-M 'P 1'
_symmetry_Int_Tables_number 1
_symmetry_space_group_name_Hall 'P 1'
_cell_length_a 5.425
_cell_length_b 5.425
_cell_length_c 5.425
_cell_angle_alpha 90.00
_cell_angle_beta 90.00
_cell_angle_gamma 90.00
loop_
_atom_site_label
_atom_site_type_symbol
_atom_site_fract_x
_atom_site_fract_y
_atom_site_fract_z
Be1 Be 0.500 0.500 0.500
As1 As 0.000 0.500 0.000
As2 As 0.000 0.000 0.500
As3 As 0.500 0.000 0.000
K1 K 0.000 0.000 0.000
# Total magnetization   0.0 μB/f.u.
# Calculated total energy   -1.734 eV per atom
# Distance to the lowest polymorph of the same formula   1.795 eV per atom



6.
# GGA-PBE KBe2As, relaxed
data_KBe2As
_symmetry_space_group_name_H-M 'P 1'
_symmetry_Int_Tables_number 1
_symmetry_space_group_name_Hall 'P 1'
_cell_length_a 5.386
_cell_length_b 6.648
_cell_length_c 5.386
_cell_angle_alpha 126.54
_cell_angle_beta 137.23
_cell_angle_gamma 67.67
loop_
_atom_site_label
_atom_site_type_symbol
_atom_site_fract_x
_atom_site_fract_y
_atom_site_fract_z
Be1 Be 0.968 0.948 0.980
Be2 Be 0.185 0.999 0.814
As1 As 0.791 0.080 0.289
K1 K 0.556 0.473 0.917
# Total magnetization   0.0 μB/f.u.
# Calculated total energy   -3.091 eV per atom



7.
# GGA-PBE KBe2As, relaxed
data_KBe2As
_symmetry_space_group_name_H-M 'P 1'
_symmetry_Int_Tables_number 1
_symmetry_space_group_name_Hall 'P 1'
_cell_length_a 4.791
_cell_length_b 4.791
_cell_length_c 8.316
_cell_angle_alpha 73.26
_cell_angle_beta 73.26
_cell_angle_gamma 90.00
loop_
_atom_site_label
_atom_site_type_symbol
_atom_site_fract_x
_atom_site_fract_y
_atom_site_fract_z
Be1 Be 0.875 0.125 0.250
Be2 Be 0.875 0.625 0.250
Be3 Be 0.375 0.125 0.750
Be4 Be 0.875 0.125 0.750
As1 As 0.000 0.000 0.000
As2 As 0.750 0.250 0.500
K1 K 0.500 0.500 0.000
K2 K 0.250 0.750 0.500
# Total magnetization   0.0 μB/f.u.
# Calculated total energy   -3.002 eV per atom



8.
# GGA-PBE K3BeAs, relaxed
data_K3BeAs
_symmetry_space_group_name_H-M 'P 1'
_symmetry_Int_Tables_number 1
_symmetry_space_group_name_Hall 'P 1'
_cell_length_a 6.419
_cell_length_b 6.419
_cell_length_c 6.419
_cell_angle_alpha 90.00
_cell_angle_beta 90.00
_cell_angle_gamma 90.00
loop_
_atom_site_label
_atom_site_type_symbol
_atom_site_fract_x
_atom_site_fract_y
_atom_site_fract_z
Be1 Be 0.500 0.500 0.500
As1 As 0.000 0.000 0.000
K1 K 0.000 0.500 0.000
K2 K 0.000 0.000 0.500
K3 K 0.500 0.000 0.000
# Total magnetization   0.0 μB/f.u.
# Calculated total energy   -1.883 eV per atom
# Distance to the lowest polymorph of the same formula   0.000 eV per atom



- Number 5 is which compound?
  KBeAs3